[1]
VASP calculation (PBE-GGA) on a geometry-optimized Li4HgPt structure.

Cell: 4.9607 4.9607 4.9607 Å, 60.00 60.00 60.00°
Positions (direct):
Li 0.8703 0.3766 0.3766
Li 0.3766 0.3766 0.8703
Li 0.3766 0.3766 0.3766
Li 0.3766 0.8703 0.3766
Pt 0.7500 0.7500 0.7500
Hg 0.0000 0.0000 0.0000

Values from the calculation:
Space-group type: F-43m, No. 216
Size of the total moment, μB per formula unit: 0.00
Crystal system: cubic
Energy above the most stable polymorph in this dataset, meV/atom: 150.5

=====

[2]
VASP calculation (PBE-GGA) on a geometry-optimized AgOs3 structure.

Cell: 4.9720 4.9720 4.9720 Å, 90.00 90.00 90.00°
Positions (direct):
Os 0.5000 0.0000 0.2500
Os 0.0000 0.2500 0.5000
Os 0.0000 0.7500 0.5000
Os 0.5000 0.0000 0.7500
Os 0.2500 0.5000 0.0000
Os 0.7500 0.5000 0.0000
Ag 0.0000 0.0000 0.0000
Ag 0.5000 0.5000 0.5000

Values from the calculation:
Space-group type: Pm-3n, No. 223
Size of the total moment, μB per formula unit: 0.00
Crystal system: cubic
Energy above the most stable polymorph in this dataset, meV/atom: 775.9

=====

[3]
VASP calculation (PBE-GGA) on a geometry-optimized NdY3Cd2 structure.

Cell: 3.7052 3.7052 12.6760 Å, 90.00 90.00 90.00°
Positions (direct):
Cd 0.5000 0.5000 0.1502
Cd 0.5000 0.5000 0.8498
Nd 0.5000 0.5000 0.5000
Y 0.0000 0.0000 0.3008
Y 0.0000 0.0000 0.6992
Y 0.0000 0.0000 0.0000

Values from the calculation:
Space-group type: P4/mmm, No. 123
Size of the total moment, μB per formula unit: 0.00
Crystal system: tetragonal

=====

[4]
VASP calculation (PBE-GGA) on a geometry-optimized RbTa2ZnNi structure.

Cell: 4.7866 4.9447 4.7866 Å, 90.00 90.00 90.00°
Site moments in Bohr magnetons follow the coordinates.
Positions (direct):
Zn 0.0000 0.5000 0.0000  -0.01
Ta 0.0000 0.0000 0.5000  0.53
Ta 0.5000 0.0000 0.0000  0.56
Rb 0.5000 0.5000 0.5000  0.05
Ni 0.0000 0.0000 0.0000  0.06

Values from the calculation:
Space-group type: P4/mmm, No. 123
Size of the total moment, μB per formula unit: 1.73
Crystal system: tetragonal

=====

| no. | energy of formation (eV/atom) |
| --- | --- |
| 1 | -0.225 |
| 2 | 1.048 |
| 3 | -0.225 |
| 4 | 1.237 |